# 1
Computed, not measured: ErPaFe after structural relaxation at the PBE level of DFT.

## Properties
**Formation energy from the elements**: -97 meV/atom
**E_tot**: -22.811 eV/f.u.

Cell lengths 6.4937, 6.6269, 6.8507 Å; angles 90.00, 114.07, 90.00 degrees
With the nearest neighbours (Å) after each atom.
Element x y z (fractional)
Fe1 0.4875 0.4526 0.1833  2 Pa 2.33-2.35
Fe2 0.5125 0.5474 0.8167  2 Pa 2.33-2.35
Fe3 0.9875 0.0474 0.6833  2 Pa 2.33-2.35
Fe4 0.0125 0.9526 0.3167  2 Pa 2.33-2.35
Pa1 0.1747 0.3223 0.9008  2 Fe 2.33-2.35
Pa2 0.8253 0.6777 0.0992  2 Fe 2.33-2.35
Pa3 0.3253 0.8222 0.5992  2 Fe 2.33-2.35
Pa4 0.6747 0.1778 0.4008  2 Fe 2.33-2.35
Er1 0.2872 0.8304 0.0719  3 Fe 2.78-3.02
Er2 0.7872 0.6696 0.5719  3 Fe 2.78-3.02
Er3 0.7128 0.1696 0.9281  3 Fe 2.78-3.02
Er4 0.2128 0.3304 0.4281  3 Fe 2.78-3.02

# 2
Computed, not measured: U2TlAgS6 after structural relaxation at the PBE level of DFT.

## Properties
**ΔE_f (raw)**: -0.93 eV per atom
**E_tot**: -61.837 eV/f.u.

Cell lengths 6.9039, 9.2361, 9.2361 Å; angles 82.73, 83.63, 83.63 degrees
With the nearest neighbours (Å) after each atom.
Element x y z (fractional)
U1 0.4867 0.8417 0.6721  6 S 2.58-2.67
U2 0.0133 0.3279 0.1583  6 S 2.58-2.67
U3 0.5133 0.1583 0.3279  6 S 2.58-2.67
U4 0.9867 0.6721 0.8417  6 S 2.58-2.67
Tl1 0.2500 0.7359 0.2641  4 S 3.02-3.17
Tl2 0.7500 0.2641 0.7359  4 S 3.02-3.17
Ag1 0.2500 0.1112 0.8888  4 S 2.62-2.68
Ag2 0.7500 0.8888 0.1112  4 S 2.62-2.68
S1 0.2614 0.8184 0.9192  2 U 2.62-2.66, 1 Ag 2.68
S2 0.2386 0.0808 0.1816  2 U 2.62-2.66, 1 Ag 2.68
S3 0.7386 0.1816 0.0808  2 U 2.62-2.66, 1 Ag 2.68
S4 0.7614 0.9192 0.8184  2 U 2.62-2.66, 1 Ag 2.68
S5 0.6341 0.8801 0.3921  1 Ag 2.62, 2 U 2.63-2.67
S6 0.8659 0.6079 0.1199  1 Ag 2.62, 2 U 2.63-2.67
S7 0.3659 0.1199 0.6079  1 Ag 2.62, 2 U 2.63-2.67
S8 0.1341 0.3921 0.8801  1 Ag 2.62, 2 U 2.63-2.67
S9 0.1936 0.7261 0.5937  2 U 2.58-2.60
S10 0.3064 0.4063 0.2739  2 U 2.58-2.60
S11 0.8064 0.2739 0.4063  2 U 2.58-2.60
S12 0.6936 0.5937 0.7261  2 U 2.58-2.60

# 3
Computed, not measured: Pr6Fe13Ag after structural relaxation at the PBE level of DFT.

## Properties
**Formation energy from the elements**: -7 meV/atom
**E_tot**: -141.674 eV/f.u.

Cell lengths 13.0097, 13.0097, 13.0097 Å; angles 143.91, 143.91, 51.97 degrees
With the nearest neighbours (Å) after each atom.
Element x y z (fractional)
Pr1 0.3475 0.8475 0.8256  3 Fe 2.96-3.11
Pr2 0.4780 0.6525 0.5000  3 Fe 2.96-3.11
Pr3 0.1525 0.9780 0.5000  3 Fe 2.96-3.11
Pr4 0.9780 0.4780 0.8256  3 Fe 2.96-3.11
Pr5 0.6525 0.1525 0.1744  3 Fe 2.96-3.11
Pr6 0.5220 0.3475 0.5000  3 Fe 2.96-3.11
Pr7 0.0220 0.5220 0.1744  3 Fe 2.96-3.11
Pr8 0.8475 0.0220 0.5000  3 Fe 2.96-3.11
Pr9 0.1054 0.1054 0.0000  12 Fe 3.04-3.26, 1 Ag 3.38
Pr10 0.3946 0.3946 0.0000  12 Fe 3.04-3.26, 1 Ag 3.38
Pr11 0.8946 0.8946 0.0000  12 Fe 3.04-3.26, 1 Ag 3.38
Pr12 0.6054 0.6054 0.0000  12 Fe 3.04-3.26, 1 Ag 3.38
Fe1 0.2100 0.9335 0.1435  10 Fe 2.40-2.64
Fe2 0.1204 0.6204 0.8574  9 Fe 2.45-2.73
Fe3 0.2073 0.4799 0.5000  7 Fe 2.51-2.64
Fe4 0.7927 0.5201 0.5000  7 Fe 2.51-2.64
Fe5 0.0201 0.2927 0.5000  7 Fe 2.51-2.64
Fe6 0.2927 0.7927 0.2726  7 Fe 2.51-2.64
Fe7 0.5201 0.0201 0.7274  7 Fe 2.51-2.64
Fe8 0.4799 0.9799 0.2726  7 Fe 2.51-2.64
Fe9 0.7073 0.2073 0.7274  7 Fe 2.51-2.64
Fe10 0.9799 0.7073 0.5000  7 Fe 2.51-2.64
Fe11 0.3796 0.2370 0.5000  9 Fe 2.45-2.73
Fe12 0.6204 0.7630 0.5000  9 Fe 2.45-2.73
Fe13 0.5000 0.0000 0.5000  12 Fe 2.40-2.54
Fe14 0.7630 0.2630 0.1426  9 Fe 2.45-2.73
Fe15 0.5665 0.2900 0.8565  10 Fe 2.40-2.64
Fe16 0.2900 0.4335 0.7235  10 Fe 2.40-2.64
Fe17 0.7100 0.5665 0.2765  10 Fe 2.40-2.64
Fe18 0.9335 0.7900 0.7235  10 Fe 2.40-2.64
Fe19 0.0665 0.2100 0.2765  10 Fe 2.40-2.64
Fe20 0.7900 0.0665 0.8565  10 Fe 2.40-2.64
Fe21 0.0000 0.5000 0.5000  12 Fe 2.40-2.54
Fe22 0.4335 0.7100 0.1435  10 Fe 2.40-2.64
Fe23 0.7370 0.8796 0.5000  9 Fe 2.45-2.73
Fe24 0.8796 0.3796 0.1426  9 Fe 2.45-2.73
Fe25 0.2370 0.7370 0.8574  9 Fe 2.45-2.73
Fe26 0.2630 0.1204 0.5000  9 Fe 2.45-2.73
Ag1 0.7500 0.7500 0.0000  10 Pr 3.38
Ag2 0.2500 0.2500 0.0000  10 Pr 3.38

# 4
Computed, not measured: ZrTaFeSe2 after structural relaxation at the PBE level of DFT.

## Properties
**ΔE_f (raw)**: 0.53 eV per atom
**E_tot**: -33.179 eV/f.u.

Cell lengths 4.9121, 4.5250, 4.9121 Å; angles 90.00, 90.00, 90.00 degrees
With the nearest neighbours (Å) after each atom.
Element x y z (fractional)
Fe1 0.0000 0.5000 0.0000  2 Ta 2.26
Se1 0.0000 0.0000 0.5000  2 Ta 2.46
Se2 0.5000 0.0000 0.0000  2 Ta 2.46
Zr1 0.5000 0.5000 0.5000  8 Se 3.34, 4 Fe 3.47
Ta1 0.0000 0.0000 0.0000  2 Fe 2.26, 4 Se 2.46

# 5
Computed, not measured: Ho3GeI7 after structural relaxation at the PBE level of DFT.

## Properties
**ΔE_f (raw)**: -1.05 eV per atom
**E_tot**: -40.712 eV/f.u.

Cell lengths 7.4328, 8.6946, 8.6946 Å; angles 120.00, 90.00, 90.00 degrees
With the nearest neighbours (Å) after each atom.
Element x y z (fractional)
Ho1 0.7755 0.4952 0.5048  1 Ge 2.89, 5 I 3.04-3.16
Ho2 0.7755 0.4952 0.9904  1 Ge 2.89, 5 I 3.04-3.16
Ho3 0.7755 0.0096 0.5048  1 Ge 2.89, 5 I 3.04-3.16
Ge1 0.5664 0.3333 0.6667  3 Ho 2.89
I1 0.0181 0.1702 0.8298  2 Ho 3.04
I2 0.0181 0.1702 0.3405  2 Ho 3.04
I3 0.0202 0.6667 0.3333  3 Ho 3.16
I4 0.5492 0.8309 0.1691  2 Ho 3.04
I5 0.5492 0.3382 0.1691  2 Ho 3.04
I6 0.5492 0.8309 0.6618  2 Ho 3.04
I7 0.0181 0.6595 0.8298  2 Ho 3.04

# 6
Computed, not measured: HfPaMo2 after structural relaxation at the PBE level of DFT.

## Properties
**Formation energy from the elements**: -61 meV/atom
**E_tot**: -41.356 eV/f.u.

Cell lengths 4.7847, 4.7847, 4.7847 Å; angles 60.00, 60.00, 60.00 degrees
With the nearest neighbours (Å) after each atom.
Element x y z (fractional)
Mo1 0.2500 0.2500 0.2500  4 Hf 2.93, 4 Pa 2.93
Mo2 0.7500 0.7500 0.7500  4 Hf 2.93, 4 Pa 2.93
Pa1 0.5000 0.5000 0.5000  8 Mo 2.93
Hf1 0.0000 0.0000 0.0000  8 Mo 2.93

# 7
Computed, not measured: TlCdBiI6 after structural relaxation at the PBE level of DFT.

## Properties
**ΔE_f (raw)**: -0.53 eV per atom
**E_tot**: -21.207 eV/f.u.

Cell lengths 7.8609, 7.8609, 15.3941 Å; angles 90.00, 90.00, 120.00 degrees
With the nearest neighbours (Å) after each atom.
Element x y z (fractional)
Tl1 0.0000 0.0000 0.0000  6 I 3.53
Tl2 0.0000 0.0000 0.5000  6 I 3.53
Cd1 0.6667 0.3333 0.2500  6 I 3.03
Cd2 0.3333 0.6667 0.7500  6 I 3.03
Bi1 0.3333 0.6667 0.2500  6 I 3.11
Bi2 0.6667 0.3333 0.7500  6 I 3.11
I1 0.6400 0.6319 0.1347  1 Cd 3.03, 1 Bi 3.11
I2 0.9919 0.3600 0.1347  1 Cd 3.03, 1 Bi 3.11
I3 0.3600 0.9919 0.6347  1 Cd 3.03, 1 Bi 3.11
I4 0.0081 0.6400 0.8653  1 Cd 3.03, 1 Bi 3.11
I5 0.3681 0.3600 0.3653  1 Cd 3.03, 1 Bi 3.11
I6 0.9919 0.6319 0.3653  1 Cd 3.03, 1 Bi 3.11
I7 0.6319 0.9919 0.8653  1 Cd 3.03, 1 Bi 3.11
I8 0.6400 0.0081 0.3653  1 Cd 3.03, 1 Bi 3.11
I9 0.0081 0.3681 0.6347  1 Cd 3.03, 1 Bi 3.11
I10 0.3681 0.0081 0.1347  1 Cd 3.03, 1 Bi 3.11
I11 0.6319 0.6400 0.6347  1 Cd 3.03, 1 Bi 3.11
I12 0.3600 0.3681 0.8653  1 Cd 3.03, 1 Bi 3.11

# 8
Computed, not measured: ScNi2Te after structural relaxation at the PBE level of DFT.

## Properties
**ΔE_f (raw)**: -0.37 eV per atom
**E_tot**: -22.498 eV/f.u.

Cell lengths 3.7450, 4.0036, 4.8554 Å; angles 90.00, 112.67, 90.00 degrees
With the nearest neighbours (Å) after each atom.
Element x y z (fractional)
Sc1 0.1423 0.0000 0.0542  7 Ni 2.57-2.80
Ni1 0.5819 0.5000 0.9301  2 Ni 2.42, 1 Te 2.52
Ni2 0.4274 0.0000 0.6274  2 Ni 2.42, 3 Sc 2.57-2.68
Te1 0.8620 0.5000 0.4924  7 Ni 2.52-2.81

# 9
Computed, not measured: ZnTcIN2 after structural relaxation at the PBE level of DFT.

## Properties
**ΔE_f (raw)**: 2.26 eV per atom
**E_tot**: -18.557 eV/f.u.

Cell lengths 4.0356, 5.3545, 4.0356 Å; angles 90.00, 90.00, 90.00 degrees
With the nearest neighbours (Å) after each atom.
Element x y z (fractional)
I1 0.0000 0.0000 0.0000  4 N 2.02
Zn1 0.5000 0.5000 0.5000  4 Tc 2.85
Tc1 0.0000 0.5000 0.0000  2 I 2.68, 4 Zn 2.85
N1 0.0000 0.0000 0.5000  2 I 2.02
N2 0.5000 0.0000 0.0000  2 I 2.02

# 10
Computed, not measured: CrCoAg2 after structural relaxation at the PBE level of DFT.

## Properties
**Formation energy from the elements**: 865 meV/atom
**E_tot**: -18.973 eV/f.u.

Cell lengths 4.3389, 4.3389, 4.3389 Å; angles 60.00, 60.00, 60.00 degrees
With the nearest neighbours (Å) after each atom.
Element x y z (fractional)
Cr1 0.0000 0.0000 0.0000  8 Ag 2.66
Co1 0.5000 0.5000 0.5000  8 Ag 2.66
Ag1 0.2500 0.2500 0.2500  4 Cr 2.66, 4 Co 2.66
Ag2 0.7500 0.7500 0.7500  4 Cr 2.66, 4 Co 2.66

# 11
Computed, not measured: Ac2Zn7Cu after structural relaxation at the PBE level of DFT.

## Properties
**Formation energy from the elements**: -265 meV/atom
**E_tot**: -23.883 eV/f.u.

Cell lengths 4.5168, 4.5168, 10.1494 Å; angles 90.00, 90.00, 90.00 degrees
With the nearest neighbours (Å) after each atom.
Element x y z (fractional)
Ac1 0.5000 0.0000 0.7557  15 Zn 3.35-3.69, 2 Cu 3.35
Ac2 0.0000 0.5000 0.2443  2 Cu 3.35, 15 Zn 3.35-3.69
Zn1 0.0000 0.5000 0.8806  3 Zn 2.55-2.56, 2 Cu 2.56
Zn2 0.5000 0.0000 0.3708  5 Zn 2.55-2.61
Zn3 0.5000 0.0000 0.1194  3 Zn 2.55-2.56, 2 Cu 2.56
Zn4 0.0000 0.5000 0.6292  5 Zn 2.55-2.61
Zn5 0.0000 0.0000 0.5000  4 Zn 2.61
Zn6 0.0000 0.0000 0.0000  4 Zn 2.56
Zn7 0.5000 0.5000 0.5000  4 Zn 2.61
Cu1 0.5000 0.5000 0.0000  4 Zn 2.56

# 12
Computed, not measured: CuMo2Rh after structural relaxation at the PBE level of DFT.

## Properties
**Formation energy from the elements**: 616 meV/atom
**E_tot**: -30.647 eV/f.u.

Cell lengths 7.0245, 7.0245, 5.5912 Å; angles 51.08, 51.08, 90.00 degrees
With the nearest neighbours (Å) after each atom.
Element x y z (fractional)
Mo1 0.6370 0.1250 0.2500  2 Rh 2.51, 2 Mo 2.57, 2 Cu 2.62
Mo2 0.1130 0.6250 0.2500  2 Rh 2.51, 2 Mo 2.57, 2 Cu 2.62
Mo3 0.3750 0.3630 0.7500  2 Rh 2.51, 2 Mo 2.57, 2 Cu 2.62
Mo4 0.8750 0.8870 0.7500  2 Rh 2.51, 2 Mo 2.57, 2 Cu 2.62
Rh1 0.0000 0.0000 0.0000  4 Mo 2.51, 2 Cu 2.57
Rh2 0.7500 0.2500 0.5000  4 Mo 2.51, 2 Cu 2.57
Cu1 0.5000 0.5000 0.0000  2 Rh 2.57, 4 Mo 2.62
Cu2 0.2500 0.7500 0.5000  2 Rh 2.57, 4 Mo 2.62

# 13
Computed, not measured: TiP2AuS after structural relaxation at the PBE level of DFT.

## Properties
**ΔE_f (raw)**: 0.31 eV per atom
**E_tot**: -24.570 eV/f.u.

Cell lengths 4.7511, 4.7511, 4.5589 Å; angles 90.00, 90.00, 90.00 degrees
With the nearest neighbours (Å) after each atom.
Element x y z (fractional)
P1 0.0000 0.5000 0.0000  2 Ti 2.38
P2 0.5000 0.0000 0.0000  2 Ti 2.38
S1 0.0000 0.0000 0.5000  2 Ti 2.28
Au1 0.5000 0.5000 0.5000  8 P 3.29, 4 S 3.36
Ti1 0.0000 0.0000 0.0000  2 S 2.28, 4 P 2.38

# 14
Computed, not measured: Ta2Ir after structural relaxation at the PBE level of DFT.

## Properties
**Formation energy from the elements**: -372 meV/atom
**E_tot**: -33.682 eV/f.u.

Cell lengths 2.8628, 5.1781, 7.2538 Å; angles 73.57, 86.45, 80.94 degrees
With the nearest neighbours (Å) after each atom.
Element x y z (fractional)
Ir1 0.9782 0.8780 0.3063  6 Ta 2.66-2.87, 2 Ir 2.86
Ir2 0.0218 0.1220 0.6937  6 Ta 2.66-2.87, 2 Ir 2.86
Ta1 0.5464 0.6494 0.6418  4 Ir 2.70-2.87, 5 Ta 2.86-2.96
Ta2 0.4536 0.3506 0.3582  4 Ir 2.70-2.87, 5 Ta 2.86-2.96
Ta3 0.7423 0.7403 0.0020  2 Ir 2.66-2.71, 6 Ta 2.69-2.96
Ta4 0.2577 0.2597 0.9980  2 Ir 2.66-2.71, 6 Ta 2.69-2.96

# 15
Computed, not measured: LiDyRu4 after structural relaxation at the PBE level of DFT.

## Properties
**Formation energy from the elements**: 45 meV/atom
**E_tot**: -43.348 eV/f.u.

Cell lengths 5.2323, 5.2323, 5.2323 Å; angles 60.00, 60.00, 60.00 degrees
With the nearest neighbours (Å) after each atom.
Element x y z (fractional)
Ru1 0.6255 0.6255 0.1236  6 Ru 2.61-2.63
Ru2 0.6255 0.1236 0.6255  6 Ru 2.61-2.63
Ru3 0.6255 0.6255 0.6255  6 Ru 2.61-2.63
Ru4 0.1236 0.6255 0.6255  6 Ru 2.61-2.63
Li1 0.0000 0.0000 0.0000  12 Ru 3.07, 4 Dy 3.20
Dy1 0.2500 0.2500 0.2500  12 Ru 3.07, 4 Li 3.20

# 16
Computed, not measured: HfBe3Cd after structural relaxation at the PBE level of DFT.

## Properties
**Formation energy from the elements**: 1645 meV/atom
**E_tot**: -13.821 eV/f.u.

Cell lengths 4.7344, 4.7344, 4.7344 Å; angles 90.00, 90.00, 90.00 degrees
With the nearest neighbours (Å) after each atom.
Element x y z (fractional)
Be1 0.0000 0.5000 0.0000  2 Hf 2.37
Be2 0.0000 0.0000 0.5000  2 Hf 2.37
Be3 0.5000 0.0000 0.0000  2 Hf 2.37
Hf1 0.0000 0.0000 0.0000  6 Be 2.37
Cd1 0.5000 0.5000 0.5000  12 Be 3.35

# 17
Computed, not measured: Rb5Cd after structural relaxation at the PBE level of DFT.

## Properties
**Formation energy from the elements**: 17 meV/atom
**E_tot**: -5.648 eV/f.u.

Cell lengths 9.8443, 9.8443, 11.5173 Å; angles 115.30, 115.30, 90.00 degrees
With the nearest neighbours (Å) after each atom.
Element x y z (fractional)
Rb1 0.0000 0.0000 0.0000  8 Rb 4.57, 2 Cd 4.59
Rb2 0.5000 0.5000 0.0000  8 Rb 4.57, 2 Cd 4.59
Rb3 0.3157 0.8157 0.2969  2 Cd 4.11, 3 Rb 4.38-4.57
Rb4 0.4812 0.3157 0.2969  2 Cd 4.11, 3 Rb 4.38-4.57
Rb5 0.8157 0.9812 0.2969  2 Cd 4.11, 3 Rb 4.38-4.57
Rb6 0.5188 0.6843 0.7031  2 Cd 4.11, 3 Rb 4.38-4.57
Rb7 0.1843 0.0188 0.7031  2 Cd 4.11, 3 Rb 4.38-4.57
Rb8 0.0188 0.5188 0.7031  2 Cd 4.11, 3 Rb 4.38-4.57
Rb9 0.6843 0.1843 0.7031  2 Cd 4.11, 3 Rb 4.38-4.57
Rb10 0.9812 0.4812 0.2969  2 Cd 4.11, 3 Rb 4.38-4.57
Cd1 0.2500 0.2500 0.5000  10 Rb 4.11-4.59
Cd2 0.7500 0.7500 0.5000  10 Rb 4.11-4.59

# 18
Computed, not measured: Sr2BrCl2 after structural relaxation at the PBE level of DFT.

## Properties
**ΔE_f (raw)**: -1.88 eV per atom
**E_tot**: -18.138 eV/f.u.

Cell lengths 8.4838, 8.4838, 3.9217 Å; angles 90.00, 90.00, 90.00 degrees
With the nearest neighbours (Å) after each atom.
Element x y z (fractional)
Sr1 0.3347 0.8347 0.0000  6 Cl 3.09-3.23, 2 Br 3.17
Sr2 0.8347 0.6653 0.0000  6 Cl 3.09-3.23, 2 Br 3.17
Sr3 0.6653 0.1653 0.0000  6 Cl 3.09-3.23, 2 Br 3.17
Sr4 0.1653 0.3347 0.0000  6 Cl 3.09-3.23, 2 Br 3.17
Br1 0.0000 0.0000 0.0000  4 Sr 3.17
Br2 0.5000 0.5000 0.0000  4 Sr 3.17
Cl1 0.1354 0.6354 0.5000  6 Sr 3.09-3.23, 1 Cl 3.25
Cl2 0.6354 0.8646 0.5000  6 Sr 3.09-3.23, 1 Cl 3.25
Cl3 0.8646 0.3646 0.5000  6 Sr 3.09-3.23, 1 Cl 3.25
Cl4 0.3646 0.1354 0.5000  6 Sr 3.09-3.23, 1 Cl 3.25

# 19
Computed, not measured: LiLaSiPt3 after structural relaxation at the PBE level of DFT.

## Properties
**ΔE_f (raw)**: -0.79 eV per atom
**E_tot**: -35.146 eV/f.u.

Cell lengths 5.6816, 6.8706, 6.6705 Å; angles 121.00, 90.00, 90.00 degrees
With the nearest neighbours (Å) after each atom.
Element x y z (fractional)
Li1 0.2500 0.9664 0.9327  5 Pt 2.45-2.48
Li2 0.7500 0.0336 0.0673  5 Pt 2.45-2.48
La1 0.7500 0.2834 0.5669  1 Li 2.86, 2 Pt 3.06, 2 Si 3.07
La2 0.2500 0.7166 0.4331  1 Li 2.86, 2 Pt 3.06, 2 Si 3.07
Si1 0.2500 0.3860 0.7720  5 Pt 2.32-2.42
Si2 0.7500 0.6140 0.2280  5 Pt 2.32-2.42
Pt1 0.2500 0.1830 0.3659  1 Si 2.32, 1 Li 2.48
Pt2 0.0000 0.2860 0.0000  2 Si 2.42, 2 Li 2.45
Pt3 0.5000 0.7140 0.0000  2 Si 2.42, 2 Li 2.45
Pt4 0.5000 0.2860 0.0000  2 Si 2.42, 2 Li 2.45
Pt5 0.0000 0.7140 0.0000  2 Si 2.42, 2 Li 2.45
Pt6 0.7500 0.8170 0.6341  1 Si 2.32, 1 Li 2.48

# 20
Computed, not measured: TaCuPt after structural relaxation at the PBE level of DFT.

## Properties
**Formation energy from the elements**: 173 meV/atom
**E_tot**: -21.470 eV/f.u.

Cell lengths 4.2741, 4.2741, 4.2741 Å; angles 60.00, 60.00, 60.00 degrees
With the nearest neighbours (Å) after each atom.
Element x y z (fractional)
Cu1 0.0000 0.0000 0.0000  4 Ta 2.62
Pt1 0.5000 0.5000 0.5000  4 Ta 2.62
Ta1 0.7500 0.7500 0.7500  4 Cu 2.62, 4 Pt 2.62